ThFeCoB3 (PBE-GGA, optimized geometry); space group = No. 63; uncorrected energy = -7.4304 eV/atom; calculated volume = 146 Å³/cell; density = 8.63 Mg/m³
1.0
-2.302 0.788 4.590
-4.047 -3.885 -1.362
4.742 -1.581 2.650
Th Fe Co B
2 2 2 6
Direct
0.750 0.252 0.503
0.250 0.748 0.497
0.250 0.056 0.111
0.750 0.944 0.889
0.250 0.439 0.878
0.750 0.561 0.122
0.250 0.246 0.493
0.000 0.252 0.000
0.500 0.748 0.000
0.500 0.252 0.000
0.000 0.748 0.000
0.750 0.754 0.507